Cs3IrBr6: optimized geometry, PBE-GGA.

Summary:
E_tot (eV per cell): -32.98

The structure in extended XYZ format:
```
10
Lattice="0.0000 5.8295 5.8295 5.8295 0.0000 5.8295 5.8295 5.8295 0.0000" Properties=species:S:1:pos:R:3 pbc="T T T"
Cs 0.0000 0.0000 0.0000
Cs 2.9147 2.9147 2.9147
Cs 8.7442 8.7442 8.7442
Ir 5.8295 5.8295 5.8295
Br 5.8295 5.8295 3.3230
Br 5.8295 3.3230 5.8295
Br 8.3359 5.8295 5.8295
Br 3.3230 5.8295 5.8295
Br 5.8295 8.3359 5.8295
Br 5.8295 5.8295 8.3359
```